# 1
A relaxed Dy2MgPd4 crystal, computed with GGA-PBE.

abc: 7.695 5.063 7.426
angles: 90.00 95.41 90.00
Space group C2/m (No. 12)
Unique sites:
Dy (0.201, 0.000, 0.295) [4 per cell]
Mg (0.000, 0.500, 0.000) [2 per cell]
Pd (0.086, 0.500, 0.354) [4 per cell]
Pd (0.152, 0.000, 0.893) [4 per cell]

Electronic total energy (eV/f.u.): -36.66
Volume (A^3/atom): 20.6



# 2
A relaxed Dy6Mg2Pd crystal, computed with GGA-PBE.

abc: 6.661 7.335 11.204
angles: 90.00 107.73 90.00
Space group P2_1/c (No. 14)
Unique sites:
Dy (0.095, 0.033, 0.251) [4 per cell]
Dy (0.171, 0.708, 0.033) [4 per cell]
Dy (0.323, 0.161, 0.001) [4 per cell]
Mg (0.420, 0.079, 0.743) [4 per cell]
Pd (0.500, 0.000, 0.500) [2 per cell]

Electronic total energy (eV/f.u.): -36.82
Volume (A^3/atom): 29.0



# 3
A relaxed Dy6MgPd crystal, computed with GGA-PBE.

abc: 7.107 7.118 7.122
angles: 119.84 90.17 119.88
Space group P-1 (No. 2)
Unique sites:
Dy (0.244, 0.216, 0.281) [2 per cell]
Dy (0.244, 0.463, 0.935) [2 per cell]
Dy (0.244, 0.807, 0.527) [2 per cell]
Mg (0.500, 0.000, 0.000) [1 per cell]
Pd (0.000, 0.000, 0.500) [1 per cell]

Electronic total energy (eV/f.u.): -33.66
Volume (A^3/atom): 31.9



# 4
A relaxed Dy4Mg5Pd2 crystal, computed with GGA-PBE.

abc: 7.905 3.593 9.866
angles: 90.00 92.92 90.00
Space group P2/m (No. 10)
Unique sites:
Dy (0.164, 0.000, 0.356) [2 per cell]
Dy (0.218, 0.000, 0.948) [2 per cell]
Mg (0.187, 0.500, 0.655) [2 per cell]
Mg (0.449, 0.500, 0.179) [2 per cell]
Mg (0.500, 0.500, 0.500) [1 per cell]
Pd (0.068, 0.500, 0.142) [2 per cell]

Electronic total energy (eV/f.u.): -40.61
Volume (A^3/atom): 25.4



# 5
A relaxed PmDyMgPd crystal, computed with GGA-PBE.

abc: 7.353 7.353 7.353
angles: 90.00 90.00 90.00
Space group F-43m (No. 216)
Unique sites:
Pm (0.000, 0.000, 0.000) [4 per cell]
Dy (0.000, 0.000, 0.500) [4 per cell]
Mg (0.250, 0.250, 0.750) [4 per cell]
Pd (0.250, 0.250, 0.250) [4 per cell]

Electronic total energy (eV/f.u.): -17.61
Volume (A^3/atom): 24.8



# 6
A relaxed PrDyMgPd crystal, computed with GGA-PBE.

abc: 7.408 7.408 7.408
angles: 90.00 90.00 90.00
Space group F-43m (No. 216)
Unique sites:
Pr (0.000, 0.000, 0.000) [4 per cell]
Dy (0.000, 0.000, 0.500) [4 per cell]
Mg (0.250, 0.250, 0.750) [4 per cell]
Pd (0.250, 0.250, 0.250) [4 per cell]

Electronic total energy (eV/f.u.): -17.55
Volume (A^3/atom): 25.4



# 7
A relaxed DyMgPdPt crystal, computed with GGA-PBE.

abc: 6.733 6.733 6.733
angles: 90.00 90.00 90.00
Space group F-43m (No. 216)
Unique sites:
Dy (0.000, 0.000, 0.000) [4 per cell]
Mg (0.000, 0.000, 0.500) [4 per cell]
Pd (0.250, 0.250, 0.250) [4 per cell]
Pt (0.250, 0.250, 0.750) [4 per cell]

Electronic total energy (eV/f.u.): -21.22
Volume (A^3/atom): 19.1



# 8
A relaxed DyMgPdRh crystal, computed with GGA-PBE.

abc: 6.651 6.651 6.651
angles: 90.00 90.00 90.00
Space group F-43m (No. 216)
Unique sites:
Dy (0.000, 0.000, 0.000) [4 per cell]
Mg (0.000, 0.000, 0.500) [4 per cell]
Pd (0.250, 0.250, 0.250) [4 per cell]
Rh (0.250, 0.250, 0.750) [4 per cell]

Electronic total energy (eV/f.u.): -21.77
Volume (A^3/atom): 18.4



# 9
A relaxed DyMgPdRu crystal, computed with GGA-PBE.

abc: 6.614 6.614 6.614
angles: 90.00 90.00 90.00
Space group F-43m (No. 216)
Unique sites:
Dy (0.000, 0.000, 0.000) [4 per cell]
Mg (0.000, 0.000, 0.500) [4 per cell]
Pd (0.250, 0.250, 0.250) [4 per cell]
Ru (0.250, 0.250, 0.750) [4 per cell]

Electronic total energy (eV/f.u.): -22.47
Volume (A^3/atom): 18.1



# 10
A relaxed DyMgSbPd crystal, computed with GGA-PBE.

abc: 7.068 7.068 7.068
angles: 90.00 90.00 90.00
Space group F-43m (No. 216)
Unique sites:
Dy (0.000, 0.000, 0.000) [4 per cell]
Mg (0.000, 0.000, 0.500) [4 per cell]
Sb (0.250, 0.250, 0.250) [4 per cell]
Pd (0.250, 0.250, 0.750) [4 per cell]

E_form (uncorrected) (eV/f.u.): -2.538
Electronic total energy (eV/f.u.): -18.05
Volume (A^3/atom): 22.1



# 11
A relaxed DyMg2ScPd4 crystal, computed with GGA-PBE.

abc: 4.6657 4.6657 23.2241
angles: 90.00 90.00 120.00
Space group R-3m (No. 166, hexagonal axes)
Unique sites:
Dy (0.0000, 0.0000, 0.0000) [3 per cell]
Mg (0.0000, 0.0000, 0.2474) [6 per cell]
Sc (0.0000, 0.0000, 0.5000) [3 per cell]
Pd (0.0000, 0.0000, 0.1271) [6 per cell]
Pd (0.0000, 0.0000, 0.3807) [6 per cell]

Electronic total energy (eV/f.u.): -41.42
Volume (A^3/atom): 18.2



# 12
A relaxed DyMgScPd crystal, computed with GGA-PBE.

abc: 7.055 7.055 7.055
angles: 90.00 90.00 90.00
Space group F-43m (No. 216)
Unique sites:
Dy (0.000, 0.000, 0.000) [4 per cell]
Mg (0.250, 0.250, 0.750) [4 per cell]
Sc (0.000, 0.000, 0.500) [4 per cell]
Pd (0.250, 0.250, 0.250) [4 per cell]

Electronic total energy (eV/f.u.): -19.27
Volume (A^3/atom): 21.9



# 13
A relaxed DyMgSc2Pd2 crystal, computed with GGA-PBE.

abc: 4.7813 4.7813 6.3176
angles: 90.00 90.00 120.00
Space group P-3m1 (No. 164)
Unique sites:
Dy (0.0000, 0.0000, 0.0000) [1 per cell]
Mg (0.0000, 0.0000, 0.5000) [1 per cell]
Sc (0.3333, 0.6667, 0.6822) [2 per cell]
Pd (0.3333, 0.6667, 0.2435) [2 per cell]

Electronic total energy (eV/f.u.): -32.93
Volume (A^3/atom): 20.8



# 14
A relaxed Dy2Mg2ScPd5 crystal, computed with GGA-PBE.

abc: 10.301 10.301 3.601
angles: 90.00 90.00 90.00
Space group P4/mbm (No. 127)
Unique sites:
Dy (0.174, 0.326, 0.000) [4 per cell]
Mg (0.126, 0.626, 0.000) [4 per cell]
Sc (0.000, 0.000, 0.000) [2 per cell]
Pd (0.000, 0.500, 0.500) [2 per cell]
Pd (0.054, 0.799, 0.500) [8 per cell]

Electronic total energy (eV/f.u.): -51.60
Volume (A^3/atom): 19.1



# 15
A relaxed DyMgSiPd crystal, computed with GGA-PBE.

abc: 6.742 6.742 6.742
angles: 90.00 90.00 90.00
Space group F-43m (No. 216)
Unique sites:
Dy (0.000, 0.000, 0.000) [4 per cell]
Mg (0.000, 0.000, 0.500) [4 per cell]
Si (0.250, 0.250, 0.250) [4 per cell]
Pd (0.250, 0.250, 0.750) [4 per cell]

E_form (uncorrected) (eV/f.u.): -2.346
Electronic total energy (eV/f.u.): -19.16
Volume (A^3/atom): 19.2



# 16
A relaxed Dy2MgSi3Pd4 crystal, computed with GGA-PBE.

abc: 4.180 4.180 10.281
angles: 90.00 90.00 90.00
Space group P-4m2 (No. 115)
Unique sites:
Dy (0.000, 0.500, 0.241) [2 per cell]
Mg (0.000, 0.000, 0.500) [1 per cell]
Si (0.000, 0.500, 0.871) [2 per cell]
Si (0.500, 0.500, 0.500) [1 per cell]
Pd (0.000, 0.000, 0.000) [1 per cell]
Pd (0.000, 0.500, 0.642) [2 per cell]
Pd (0.500, 0.500, 0.000) [1 per cell]

E_form (uncorrected) (eV/f.u.): -8.499
Electronic total energy (eV/f.u.): -56.34
Volume (A^3/atom): 18.0



# 17
A relaxed SmDyMgPd crystal, computed with GGA-PBE.

abc: 7.334 7.334 7.334
angles: 90.00 90.00 90.00
Space group F-43m (No. 216)
Unique sites:
Sm (0.000, 0.000, 0.000) [4 per cell]
Dy (0.000, 0.000, 0.500) [4 per cell]
Mg (0.250, 0.250, 0.750) [4 per cell]
Pd (0.250, 0.250, 0.250) [4 per cell]

Electronic total energy (eV/f.u.): -17.61
Volume (A^3/atom): 24.7



# 18
A relaxed SmDyMg2Pd4 crystal, computed with GGA-PBE.

abc: 4.8044 4.8044 23.6351
angles: 90.00 90.00 120.00
Space group R-3m (No. 166, hexagonal axes)
Unique sites:
Sm (0.0000, 0.0000, 0.0000) [3 per cell]
Dy (0.0000, 0.0000, 0.5000) [3 per cell]
Mg (0.0000, 0.0000, 0.2490) [6 per cell]
Pd (0.0000, 0.0000, 0.1262) [6 per cell]
Pd (0.0000, 0.0000, 0.3775) [6 per cell]

Electronic total energy (eV/f.u.): -39.44
Volume (A^3/atom): 19.7



# 19
A relaxed DyMg2SnPd4 crystal, computed with GGA-PBE.

abc: 4.7048 4.7048 22.6569
angles: 90.00 90.00 120.00
Space group R-3m (No. 166, hexagonal axes)
Unique sites:
Dy (0.0000, 0.0000, 0.0000) [3 per cell]
Mg (0.0000, 0.0000, 0.2491) [6 per cell]
Sn (0.0000, 0.0000, 0.5000) [3 per cell]
Pd (0.0000, 0.0000, 0.1279) [6 per cell]
Pd (0.0000, 0.0000, 0.3791) [6 per cell]

Electronic total energy (eV/f.u.): -38.48
Volume (A^3/atom): 18.1



# 20
A relaxed DyMgSn2Pd4 crystal, computed with GGA-PBE.

abc: 4.6646 4.6646 23.5239
angles: 90.00 90.00 120.00
Space group R-3m (No. 166, hexagonal axes)
Unique sites:
Dy (0.0000, 0.0000, 0.0000) [3 per cell]
Mg (0.0000, 0.0000, 0.5000) [3 per cell]
Sn (0.0000, 0.0000, 0.2483) [6 per cell]
Pd (0.0000, 0.0000, 0.1277) [6 per cell]
Pd (0.0000, 0.0000, 0.3851) [6 per cell]

Electronic total energy (eV/f.u.): -41.06
Volume (A^3/atom): 18.5